Below is crystalline PuI at its relaxed geometry, with properties calculated at the PBE level.

Cell and atoms, written as CIF:
```
data_PuI
_symmetry_space_group_name_H-M 'F -4 3 m'
_symmetry_Int_Tables_number 216
_symmetry_space_group_name_Hall 'F -4 2 3'
_cell_length_a 7.1286
_cell_length_b 7.1286
_cell_length_c 7.1286
_cell_angle_alpha 90.00
_cell_angle_beta 90.00
_cell_angle_gamma 90.00
loop_
_atom_site_label
_atom_site_type_symbol
_atom_site_fract_x
_atom_site_fract_y
_atom_site_fract_z
Pu1 Pu 0.0000 0.0000 0.0000
I1 I 0.2500 0.2500 0.2500
```



Below is crystalline PuI2 at its relaxed geometry, with properties calculated at the PBE level.

Cell and atoms, written as CIF:
```
data_PuI2
_symmetry_space_group_name_H-M 'P 42/m n m'
_symmetry_Int_Tables_number 136
_symmetry_space_group_name_Hall '-P 4n 2n'
_cell_length_a 7.7245
_cell_length_b 7.7245
_cell_length_c 4.4716
_cell_angle_alpha 90.00
_cell_angle_beta 90.00
_cell_angle_gamma 90.00
loop_
_atom_site_label
_atom_site_type_symbol
_atom_site_fract_x
_atom_site_fract_y
_atom_site_fract_z
Pu1 Pu 0.0000 0.0000 0.0000
I1 I 0.2061 0.2061 0.5000
```



Below is crystalline PuI at its relaxed geometry, with properties calculated at the PBE level.

Cell and atoms, written as CIF:
```
data_PuI
_symmetry_space_group_name_H-M 'F m -3 m'
_symmetry_Int_Tables_number 225
_symmetry_space_group_name_Hall '-F 4 2 3'
_cell_length_a 6.2519
_cell_length_b 6.2519
_cell_length_c 6.2519
_cell_angle_alpha 90.00
_cell_angle_beta 90.00
_cell_angle_gamma 90.00
loop_
_atom_site_label
_atom_site_type_symbol
_atom_site_fract_x
_atom_site_fract_y
_atom_site_fract_z
Pu1 Pu 0.0000 0.0000 0.0000
I1 I 0.0000 0.0000 0.5000
```



Below is crystalline SmPuSbI2 at its relaxed geometry, with properties calculated at the PBE level.

Cell and atoms, written as CIF:
```
data_SmPuSbI2
_symmetry_space_group_name_H-M 'P 3 m 1'
_symmetry_Int_Tables_number 156
_symmetry_space_group_name_Hall 'P 3 -2"'
_cell_length_a 4.4295
_cell_length_b 4.4295
_cell_length_c 11.4659
_cell_angle_alpha 90.00
_cell_angle_beta 90.00
_cell_angle_gamma 120.00
loop_
_atom_site_label
_atom_site_type_symbol
_atom_site_fract_x
_atom_site_fract_y
_atom_site_fract_z
Sm1 Sm 0.0000 0.0000 0.0000
Pu1 Pu 0.3333 0.6667 0.3087
Sb1 Sb 0.6667 0.3333 0.1519
I1 I 0.0000 0.0000 0.4759
I2 I 0.3333 0.6667 0.8255
```



Below is crystalline TmPuSbI2 at its relaxed geometry, with properties calculated at the PBE level.

Cell and atoms, written as CIF:
```
data_TmPuSbI2
_symmetry_space_group_name_H-M 'P 3 m 1'
_symmetry_Int_Tables_number 156
_symmetry_space_group_name_Hall 'P 3 -2"'
_cell_length_a 4.3554
_cell_length_b 4.3554
_cell_length_c 11.3455
_cell_angle_alpha 90.00
_cell_angle_beta 90.00
_cell_angle_gamma 120.00
loop_
_atom_site_label
_atom_site_type_symbol
_atom_site_fract_x
_atom_site_fract_y
_atom_site_fract_z
Tm1 Tm 0.0000 0.0000 0.0000
Pu1 Pu 0.3333 0.6667 0.3079
Sb1 Sb 0.6667 0.3333 0.1444
I1 I 0.0000 0.0000 0.4813
I2 I 0.3333 0.6667 0.8332
```



Below is crystalline PuSe2I2 at its relaxed geometry, with properties calculated at the PBE level.

Cell and atoms, written as CIF:
```
data_PuSe2I2
_symmetry_space_group_name_H-M 'P -1'
_symmetry_Int_Tables_number 2
_symmetry_space_group_name_Hall '-P 1'
_cell_length_a 7.6758
_cell_length_b 7.6841
_cell_length_c 8.7193
_cell_angle_alpha 88.62
_cell_angle_beta 66.58
_cell_angle_gamma 60.22
loop_
_atom_site_label
_atom_site_type_symbol
_atom_site_fract_x
_atom_site_fract_y
_atom_site_fract_z
Pu1 Pu 0.1476 0.1464 0.9998
Se1 Se 0.1436 0.9461 0.7193
Se2 Se 0.2035 0.7637 0.1028
I1 I 0.2552 0.4243 0.7609
I2 I 0.3477 0.1790 0.2392
```



Below is crystalline PuSe2I2 at its relaxed geometry, with properties calculated at the PBE level.

Cell and atoms, written as CIF:
```
data_PuSe2I2
_symmetry_space_group_name_H-M 'C 1 2/m 1'
_symmetry_Int_Tables_number 12
_symmetry_space_group_name_Hall '-C 2y'
_cell_length_a 7.7410
_cell_length_b 13.1976
_cell_length_c 8.1570
_cell_angle_alpha 90.00
_cell_angle_beta 111.02
_cell_angle_gamma 90.00
loop_
_atom_site_label
_atom_site_type_symbol
_atom_site_fract_x
_atom_site_fract_y
_atom_site_fract_z
Pu1 Pu 0.0000 0.1477 0.0000
Se1 Se 0.1263 0.0000 0.2887
Se2 Se 0.1981 0.5000 0.8917
I1 I 0.2231 0.1959 0.7549
```



Below is crystalline PuTe2I2 at its relaxed geometry, with properties calculated at the PBE level.

Cell and atoms, written as CIF:
```
data_PuTe2I2
_symmetry_space_group_name_H-M 'C 1 2/m 1'
_symmetry_Int_Tables_number 12
_symmetry_space_group_name_Hall '-C 2y'
_cell_length_a 7.7528
_cell_length_b 14.1386
_cell_length_c 8.0763
_cell_angle_alpha 90.00
_cell_angle_beta 108.16
_cell_angle_gamma 90.00
loop_
_atom_site_label
_atom_site_type_symbol
_atom_site_fract_x
_atom_site_fract_y
_atom_site_fract_z
Pu1 Pu 0.0000 0.1530 0.0000
Te1 Te 0.1054 0.0000 0.3096
Te2 Te 0.1814 0.5000 0.8988
I1 I 0.2304 0.2056 0.7547
```



Number 1: total magnetic moment 27.8 μB/cell, uncorrected energy -8.0437 eV/atom. Number 2: total magnetic moment 12.0 μB/cell, uncorrected energy -6.7912 eV/atom. Number 3: total magnetic moment 25.4 μB/cell, uncorrected energy -8.4183 eV/atom. Number 4: total magnetic moment 5.8 μB/cell, uncorrected energy -6.3776 eV/atom. Number 5: total magnetic moment 5.9 μB/cell, uncorrected energy -6.2757 eV/atom. Number 6: total magnetic moment 8.0 μB/cell, uncorrected energy -5.7179 eV/atom. Number 7: total magnetic moment 15.9 μB/cell, uncorrected energy -5.7163 eV/atom. Number 8: total magnetic moment 17.7 μB/cell, uncorrected energy -5.4395 eV/atom.